i) ! Te2RuRh, relaxed, DFT GGA-PBE; values from VASP
&SYSTEM
  ibrav = 0, nat = 4, ntyp = 3
/
ATOMIC_SPECIES
Te 127.60 Te.upf
Ru 101.07 Ru.upf
Rh 102.91 Rh.upf
CELL_PARAMETERS angstrom
1.691 0.976 7.783
-1.691 0.976 7.783
0.000 -1.952 7.783
ATOMIC_POSITIONS angstrom
Te 0.000 0.000 5.840
Te 0.000 0.000 17.509
Ru 0.000 0.000 0.000
Rh 0.000 0.000 11.674
! crystal system: trigonal



ii) ! Te2RuRh, relaxed, DFT GGA-PBE; values from VASP
&SYSTEM
  ibrav = 0, nat = 8, ntyp = 3
/
ATOMIC_SPECIES
Te 127.60 Te.upf
Ru 101.07 Ru.upf
Rh 102.91 Rh.upf
CELL_PARAMETERS angstrom
-2.965 2.965 5.857
2.965 -2.965 5.857
2.965 2.965 -5.857
ATOMIC_POSITIONS angstrom
Te 4.447 1.462 -1.464
Te 1.462 1.482 1.464
Te -1.482 1.503 4.393
Te 1.503 1.482 7.321
Ru 0.000 0.000 0.000
Ru 0.000 2.965 2.928
Rh 2.965 0.000 2.928
Rh 0.000 0.000 5.857
! crystal system: tetragonal



iii) ! Te2RuRh, relaxed, DFT GGA-PBE; values from VASP
&SYSTEM
  ibrav = 0, nat = 4, ntyp = 3
/
ATOMIC_SPECIES
Te 127.60 Te.upf
Ru 101.07 Ru.upf
Rh 102.91 Rh.upf
CELL_PARAMETERS angstrom
3.368 0.000 0.000
0.000 3.791 0.000
0.000 0.000 6.817
ATOMIC_POSITIONS angstrom
Te 0.000 0.000 0.000
Te 1.684 1.896 3.224
Ru 0.000 0.000 4.231
Rh 1.684 1.896 5.852
! crystal system: orthorhombic



iii) (17.4 kJ/mol of atoms below the next structure)



i) ! Te6RuRh, relaxed, DFT GGA-PBE; values from VASP
&SYSTEM
  ibrav = 0, nat = 8, ntyp = 3
/
ATOMIC_SPECIES
Te 127.60 Te.upf
Ru 101.07 Ru.upf
Rh 102.91 Rh.upf
CELL_PARAMETERS angstrom
6.516 0.000 0.000
-0.107 6.587 0.000
-3.241 -3.225 4.784
ATOMIC_POSITIONS angstrom
Te -0.767 0.760 1.556
Te -1.526 -0.400 4.761
Te 0.635 4.062 3.138
Te 2.533 -0.700 1.646
Te 4.694 3.762 0.023
Te 3.936 2.602 3.228
Ru -1.620 -1.612 2.392
Rh 1.584 1.681 2.392
! crystal system: triclinic



ii) ! Te6RuRh, relaxed, DFT GGA-PBE; values from VASP
&SYSTEM
  ibrav = 0, nat = 16, ntyp = 3
/
ATOMIC_SPECIES
Te 127.60 Te.upf
Ru 101.07 Ru.upf
Rh 102.91 Rh.upf
CELL_PARAMETERS angstrom
6.778 -4.817 0.000
6.778 4.817 0.000
-6.763 0.000 6.821
ATOMIC_POSITIONS angstrom
Te -2.187 1.472 4.583
Te 1.035 3.135 5.768
Te 5.758 3.135 1.054
Te -2.187 -1.472 4.583
Te 1.198 0.000 3.522
Te 3.583 0.000 1.161
Te 3.210 0.000 5.660
Te 5.595 0.000 3.300
Te 8.980 1.472 2.238
Te 1.035 -3.135 5.768
Te 5.758 -3.135 1.054
Te 8.980 -1.472 2.238
Ru 0.008 2.408 3.411
Ru 0.008 -2.408 3.411
Rh 3.389 2.408 0.000
Rh 3.389 -2.408 0.000
! crystal system: monoclinic



i) (7.3 kJ/mol of atoms below the next structure)



i) ! Te3RuRh, relaxed, DFT GGA-PBE; values from VASP
&SYSTEM
  ibrav = 0, nat = 5, ntyp = 3
/
ATOMIC_SPECIES
Te 127.60 Te.upf
Ru 101.07 Ru.upf
Rh 102.91 Rh.upf
CELL_PARAMETERS angstrom
5.110 0.000 0.000
0.000 5.110 0.000
0.000 0.000 5.110
ATOMIC_POSITIONS angstrom
Te 0.000 0.000 2.555
Te 0.000 2.555 0.000
Te 2.555 0.000 0.000
Ru 0.000 0.000 0.000
Rh 2.555 2.555 2.555
! crystal system: cubic



ii) ! Te3RuRh, relaxed, DFT GGA-PBE; values from VASP
&SYSTEM
  ibrav = 0, nat = 5, ntyp = 3
/
ATOMIC_SPECIES
Te 127.60 Te.upf
Ru 101.07 Ru.upf
Rh 102.91 Rh.upf
CELL_PARAMETERS angstrom
5.097 0.000 0.000
0.000 5.097 0.000
0.000 0.000 5.097
ATOMIC_POSITIONS angstrom
Te 0.000 0.000 2.548
Te 0.000 2.548 0.000
Te 2.548 0.000 0.000
Ru 2.548 2.548 2.548
Rh 0.000 0.000 0.000
! crystal system: cubic



i) (9.6 kJ/mol of atoms below the next structure)